VASP calculation (PBE) on an optimized crystal structure of SiSb2Os.

Results
For the total magnetization, the calculation gives 0.0000 μB/atom. Its energy relative to the elements, uncorrected is 0.75 eV per atom. The theoretical density comes out at 10.0 Mg/m³.

Lattice parameters (Å, degrees): 4.9589 4.9589 4.9589 126.04 126.04 79.83
Positions (direct):
Si (0.0000, 0.0000, 0.0000)
Sb (0.5000, 0.5000, 0.0000)
Sb (0.7500, 0.2500, 0.5000)
Os (0.2500, 0.7500, 0.5000)

***

VASP calculation (PBE) on an optimized crystal structure of La2NdN.

Results
For the total magnetization, the calculation gives 0.0055 μB/atom. Its energy relative to the elements, uncorrected is -0.59 eV per atom. The theoretical density comes out at 6.5 Mg/m³. Its energy above the lowest structure with this stoichiometry is 19 meV per atom.

Lattice parameters (Å, degrees): 6.5041 6.1573 11.0914 90.00 90.00 90.00
Positions (direct):
La (0.0821, 0.2314, 0.0787)
La (0.0821, 0.2686, 0.4213)
La (0.4179, 0.7314, 0.4213)
La (0.4179, 0.7686, 0.0787)
La (0.5821, 0.2314, 0.9213)
La (0.5821, 0.2686, 0.5787)
La (0.9179, 0.7314, 0.5787)
La (0.9179, 0.7686, 0.9213)
Nd (0.1199, 0.2500, 0.7500)
Nd (0.3801, 0.7500, 0.7500)
Nd (0.6199, 0.2500, 0.2500)
Nd (0.8801, 0.7500, 0.2500)
N (0.2500, 0.0000, 0.9219)
N (0.2500, 0.5000, 0.5781)
N (0.7500, 0.0000, 0.0781)
N (0.7500, 0.5000, 0.4219)